1.
Entry from the Alexandria database: a relaxed CoAsPdBr2 crystal (PBE).

Lattice parameters (Å, degrees): 4.990 4.990 4.398 90.00 90.00 90.00
Sites, in units of the cell vectors:
Co1 0.000 0.000 0.000
As1 0.000 0.000 0.500
Pd1 0.500 0.500 0.500
Br1 0.000 0.500 0.000
Br2 0.500 0.000 0.000

Values from the calculation:
E above lowest polymorph	0	meV per atom
energy relative to the elements, uncorrected	45	kJ/mol of atoms
N(E_F)	6.88	states/eV/f.u.
crystal system	tetragonal

=====

2.
Entry from the Alexandria database: a relaxed Pr4CoAsBr2 crystal (PBE).

Lattice parameters (Å, degrees): 7.621 4.061 7.884 90.00 106.98 90.00
Sites, in units of the cell vectors:
Pr1 0.206 0.000 0.192
Pr2 0.252 0.500 0.791
Pr3 0.748 0.500 0.209
Pr4 0.794 0.000 0.808
Co1 0.000 0.500 0.000
As1 0.500 0.000 0.000
Br1 0.000 0.000 0.500
Br2 0.500 0.500 0.500

Values from the calculation:
energy relative to the elements, uncorrected	-101	kJ/mol of atoms
N(E_F)	4.92	states/eV/f.u.
crystal system	monoclinic

=====

3.
Entry from the Alexandria database: a relaxed CoAs2PtBr crystal (PBE).

Lattice parameters (Å, degrees): 4.477 4.477 4.875 90.00 90.00 90.00
Sites, in units of the cell vectors:
Co1 0.000 0.000 0.000
As1 0.000 0.500 0.000
As2 0.500 0.000 0.000
Pt1 0.500 0.500 0.500
Br1 0.000 0.000 0.500

Values from the calculation:
E above lowest polymorph	0	meV per atom
energy relative to the elements, uncorrected	61	kJ/mol of atoms
N(E_F)	5.26	states/eV/f.u.
crystal system	tetragonal

=====

4.
Entry from the Alexandria database: a relaxed RbCoAs2Br crystal (PBE).

Lattice parameters (Å, degrees): 6.715 6.715 6.145 90.00 90.00 90.00
Sites, in units of the cell vectors:
Rb1 0.000 0.000 0.000
Co1 0.500 0.500 0.500
As1 0.000 0.500 0.000
As2 0.500 0.000 0.000
Br1 0.000 0.000 0.500

Values from the calculation:
E above lowest polymorph	1871	meV per atom
energy relative to the elements, uncorrected	158	kJ/mol of atoms
N(E_F)	9.36	states/eV/f.u.
crystal system	tetragonal

=====

What is the formula in the second record? Pr4CoAsBr2

=====

The lowest N(E_F) belongs to which entry? Pr4CoAsBr2

=====

Look up the energy relative to the elements, uncorrected of the fourth one. 158 kJ/mol of atoms